1.
CePdSe4 after structural relaxation. Source: the Alexandria database, functional PBE-GGA.

Cell: 6.867 5.896 7.849 Å, 90.00 100.13 90.00°
Positions (direct):
Ce  0.000  0.000  0.000
Ce  0.000  0.500  0.500
Pd  0.500  0.000  0.500
Pd  0.500  0.500  0.000
Se  0.157  0.086  0.357
Se  0.157  0.414  0.857
Se  0.393  0.620  0.401
Se  0.393  0.880  0.901
Se  0.607  0.120  0.099
Se  0.607  0.380  0.599
Se  0.843  0.586  0.143
Se  0.843  0.914  0.643

Output
- M_tot: 0.33 μB/cell
- Energy relative to the elements, uncorrected: -18.0 kcal/mol of atoms

---

2.
CsNaZn2Cu after structural relaxation. Source: the Alexandria database, functional PBE-GGA.

Cell: 4.984 4.984 5.669 Å, 90.00 90.00 90.00°
Positions (direct):
Cs  0.000  0.000  0.000
Na  0.500  0.500  0.000
Zn  0.000  0.500  0.500
Zn  0.500  0.000  0.500
Cu  0.500  0.500  0.500

Output
- M_tot: 0.00 μB/cell
- E_form: 171 meV per atom

---

3.
CaMg4Ga4 after structural relaxation. Source: the Alexandria database, functional PBE-GGA.

Cell: 6.679 6.679 9.133 Å, 90.00 90.00 90.00°
Positions (direct):
Ca  0.250  0.750  0.250
Ca  0.750  0.250  0.750
Mg  0.004  0.250  0.141
Mg  0.250  0.004  0.641
Mg  0.250  0.496  0.641
Mg  0.496  0.250  0.141
Mg  0.504  0.750  0.859
Mg  0.750  0.504  0.359
Mg  0.750  0.996  0.359
Mg  0.996  0.750  0.859
Ga  0.056  0.250  0.442
Ga  0.250  0.056  0.942
Ga  0.250  0.444  0.942
Ga  0.444  0.250  0.442
Ga  0.556  0.750  0.558
Ga  0.750  0.556  0.058
Ga  0.750  0.944  0.058
Ga  0.944  0.750  0.558

Output
- M_tot: 0.00 μB/cell
- E_form: -152 meV per atom

---

4.
RbZnCrTe3 after structural relaxation. Source: the Alexandria database, functional PBE-GGA.

Cell: 9.455 4.206 10.550 Å, 90.00 112.22 90.00°
Positions (direct):
Rb  0.216  0.250  0.246
Rb  0.784  0.750  0.754
Zn  0.077  0.250  0.601
Zn  0.923  0.750  0.399
Cr  0.333  0.750  0.857
Cr  0.667  0.250  0.143
Te  0.137  0.250  0.864
Te  0.233  0.750  0.558
Te  0.473  0.750  0.135
Te  0.527  0.250  0.865
Te  0.767  0.250  0.442
Te  0.863  0.750  0.136

Output
- M_tot: 5.99 μB/cell
- Energy relative to the elements, uncorrected: -11.8 kcal/mol of atoms

---

5.
AcCe2Dy after structural relaxation. Source: the Alexandria database, functional PBE-GGA.

Cell: 11.996 11.996 11.996 Å, 17.35 17.35 17.35°
Positions (direct):
Ac  0.000  0.000  0.000
Ce  0.247  0.247  0.247
Ce  0.753  0.753  0.753
Dy  0.500  0.500  0.500

Output
- M_tot: 1.97 μB/cell
- E_form: 164 meV per atom
- ΔE to the lowest computed polymorph: 14 meV/atom

---

6.
TlBS3 after structural relaxation. Source: the Alexandria database, functional PBE-GGA.

Cell: 7.072 12.257 5.836 Å, 90.00 113.43 90.00°
Positions (direct):
Tl  0.250  0.093  0.239
Tl  0.250  0.407  0.739
Tl  0.750  0.593  0.261
Tl  0.750  0.907  0.761
B  0.292  0.731  0.345
B  0.292  0.769  0.845
B  0.708  0.231  0.155
B  0.708  0.269  0.655
S  0.052  0.682  0.819
S  0.052  0.818  0.319
S  0.182  0.600  0.159
S  0.182  0.900  0.659
S  0.455  0.699  0.688
S  0.455  0.801  0.188
S  0.545  0.199  0.812
S  0.545  0.301  0.312
S  0.818  0.100  0.341
S  0.818  0.400  0.841
S  0.948  0.182  0.681
S  0.948  0.318  0.181

Output
- M_tot: 0.00 μB/cell
- Energy relative to the elements, uncorrected: -8.7 kcal/mol of atoms

---

7.
Sn3Bi after structural relaxation. Source: the Alexandria database, functional PBE-GGA.

Cell: 4.429 4.429 6.285 Å, 90.00 90.00 90.00°
Positions (direct):
Sn  0.000  0.000  0.000
Sn  0.000  0.000  0.500
Sn  0.500  0.500  0.000
Bi  0.500  0.500  0.500

Output
- M_tot: 0.00 μB/cell
- E_form: 66 meV per atom

---

8.
SrAsP2 after structural relaxation. Source: the Alexandria database, functional PBE-GGA.

Cell: 3.737 4.065 6.784 Å, 90.00 90.00 90.00°
Positions (direct):
Sr  0.000  0.000  0.000
As  0.500  0.500  0.524
P  0.000  0.000  0.458
P  0.500  0.500  0.855

Output
- M_tot: 0.00 μB/cell
- E_form: -150 meV per atom

---

9.
CaAl4Zn12 after structural relaxation. Source: the Alexandria database, functional PBE-GGA.

Cell: 7.678 7.678 7.678 Å, 109.47 109.47 109.47°
Positions (direct):
Ca  0.000  0.000  0.000
Al  0.000  0.000  0.500
Al  0.000  0.500  0.000
Al  0.500  0.000  0.000
Al  0.500  0.500  0.500
Zn  0.149  0.356  0.505
Zn  0.149  0.644  0.793
Zn  0.207  0.851  0.356
Zn  0.356  0.207  0.851
Zn  0.356  0.505  0.149
Zn  0.495  0.851  0.644
Zn  0.505  0.149  0.356
Zn  0.644  0.495  0.851
Zn  0.644  0.793  0.149
Zn  0.793  0.149  0.644
Zn  0.851  0.356  0.207
Zn  0.851  0.644  0.495

Output
- M_tot: 0.00 μB/cell
- E_form: 234 meV per atom

---

10.
BaErSn after structural relaxation. Source: the Alexandria database, functional PBE-GGA.

Cell: 5.223 5.223 4.859 Å, 90.00 90.00 120.00°
Positions (direct):
Ba  0.000  0.000  0.000
Er  0.333  0.667  0.500
Sn  0.667  0.333  0.500

Output
- M_tot: 0.00 μB/cell
- E_form: -363 meV per atom

---

11.
Na3ZnTc after structural relaxation. Source: the Alexandria database, functional PBE-GGA.

Cell: 5.840 5.840 5.840 Å, 90.00 90.00 90.00°
Positions (direct):
Na  0.000  0.000  0.500
Na  0.000  0.500  0.000
Na  0.500  0.000  0.000
Zn  0.500  0.500  0.500
Tc  0.000  0.000  0.000

Output
- M_tot: 3.30 μB/cell
- E_form: 1233 meV per atom
- ΔE to the lowest computed polymorph: 69 meV/atom

---

12.
TbCeHf after structural relaxation. Source: the Alexandria database, functional PBE-GGA.

Cell: 3.302 3.302 14.952 Å, 90.00 90.00 90.00°
Positions (direct):
Tb  0.250  0.250  0.090
Tb  0.750  0.750  0.910
Ce  0.250  0.250  0.731
Ce  0.750  0.750  0.269
Hf  0.250  0.250  0.430
Hf  0.750  0.750  0.570

Output
- M_tot: 0.64 μB/cell
- E_form: 112 meV per atom
- ΔE to the lowest computed polymorph: 0 meV/atom

---

13.
Cu2BrCl2 after structural relaxation. Source: the Alexandria database, functional PBE-GGA.

Cell: 6.688 6.797 6.982 Å, 76.67 62.08 60.57°
Positions (direct):
Cu  0.127  0.139  0.003
Cu  0.237  0.138  0.496
Cu  0.763  0.862  0.504
Cu  0.873  0.861  0.997
Br  0.350  0.799  0.751
Br  0.650  0.201  0.249
Cl  0.053  0.396  0.750
Cl  0.275  0.951  0.250
Cl  0.725  0.049  0.750
Cl  0.947  0.604  0.250

Output
- M_tot: 1.96 μB/cell
- Energy relative to the elements, uncorrected: -9.0 kcal/mol of atoms
- ΔE to the lowest computed polymorph: 0 meV/atom

---

14.
BaSbPt2C after structural relaxation. Source: the Alexandria database, functional PBE-GGA.

Cell: 5.162 5.162 4.454 Å, 90.00 90.00 90.00°
Positions (direct):
Ba  0.000  0.000  0.000
Sb  0.500  0.500  0.500
Pt  0.000  0.500  0.500
Pt  0.500  0.000  0.500
C  0.500  0.500  0.000

Output
- M_tot: 0.00 μB/cell
- Energy relative to the elements, uncorrected: 12.6 kcal/mol of atoms

---

15.
Rb3Ag2Hg after structural relaxation. Source: the Alexandria database, functional PBE-GGA.

Cell: 9.212 10.027 11.132 Å, 90.00 104.51 90.00°
Positions (direct):
Rb  0.166  0.104  0.460
Rb  0.166  0.396  0.960
Rb  0.223  0.047  0.107
Rb  0.223  0.453  0.607
Rb  0.314  0.711  0.350
Rb  0.314  0.789  0.850
Rb  0.686  0.211  0.150
Rb  0.686  0.289  0.650
Rb  0.777  0.547  0.393
Rb  0.777  0.953  0.893
Rb  0.834  0.604  0.040
Rb  0.834  0.896  0.540
Ag  0.082  0.114  0.764
Ag  0.082  0.386  0.264
Ag  0.490  0.552  0.121
Ag  0.490  0.948  0.621
Ag  0.510  0.052  0.379
Ag  0.510  0.448  0.879
Ag  0.918  0.614  0.736
Ag  0.918  0.886  0.236
Hg  0.408  0.154  0.809
Hg  0.408  0.346  0.309
Hg  0.592  0.654  0.691
Hg  0.592  0.846  0.191

Output
- M_tot: 0.00 μB/cell
- E_form: -14 meV per atom

---

16.
Gd2H4Pt after structural relaxation. Source: the Alexandria database, functional PBE-GGA.

Cell: 7.198 7.198 7.198 Å, 151.27 151.27 41.08°
Positions (direct):
Gd  0.150  0.150  0.000
Gd  0.850  0.850  0.000
H  0.000  0.500  0.500
H  0.319  0.319  0.000
H  0.500  0.000  0.500
H  0.681  0.681  0.000
Pt  0.500  0.500  0.000

Output
- M_tot: 14.95 μB/cell
- E: -7.27 eV/atom

---

17.
Pr2HoZrAs4 after structural relaxation. Source: the Alexandria database, functional PBE-GGA.

Cell: 7.153 4.130 7.175 Å, 90.00 109.27 90.00°
Positions (direct):
Pr  0.000  0.000  0.000
Pr  0.500  0.500  0.000
Ho  0.000  0.500  0.500
Zr  0.500  0.000  0.500
As  0.251  0.000  0.732
As  0.264  0.500  0.272
As  0.736  0.500  0.728
As  0.749  0.000  0.268

Output
- M_tot: 0.00 μB/cell
- E_form: -1404 meV per atom

---

18.
SmThTe2Se after structural relaxation. Source: the Alexandria database, functional PBE-GGA.

Cell: 4.479 4.479 15.065 Å, 90.00 90.00 90.00°
Positions (direct):
Sm  0.250  0.250  0.086
Sm  0.750  0.750  0.914
Th  0.250  0.250  0.627
Th  0.750  0.750  0.373
Te  0.250  0.250  0.297
Te  0.250  0.250  0.875
Te  0.750  0.750  0.125
Te  0.750  0.750  0.703
Se  0.250  0.750  0.500
Se  0.750  0.250  0.500

Output
- M_tot: 0.00 μB/cell
- Energy relative to the elements, uncorrected: -32.4 kcal/mol of atoms

---

19.
AcTe2O6F after structural relaxation. Source: the Alexandria database, functional PBE-GGA.

Cell: 8.794 8.794 6.193 Å, 103.33 103.33 88.19°
Positions (direct):
Ac  0.136  0.864  0.750
Ac  0.864  0.136  0.250
Te  0.252  0.442  0.325
Te  0.442  0.252  0.825
Te  0.558  0.748  0.175
Te  0.748  0.558  0.675
O  0.072  0.320  0.248
O  0.196  0.640  0.465
O  0.320  0.072  0.748
O  0.350  0.401  0.042
O  0.360  0.804  0.035
O  0.401  0.350  0.542
O  0.599  0.650  0.458
O  0.640  0.196  0.965
O  0.650  0.599  0.958
O  0.680  0.928  0.252
O  0.804  0.360  0.535
O  0.928  0.680  0.752
F  0.055  0.945  0.250
F  0.945  0.055  0.750

Output
- M_tot: 0.00 μB/cell
- Energy relative to the elements, uncorrected: -37.4 kcal/mol of atoms

---

20.
Ac6YTl5 after structural relaxation. Source: the Alexandria database, functional PBE-GGA.

Cell: 10.215 10.215 10.215 Å, 147.12 131.29 60.03°
Positions (direct):
Ac  0.071  0.327  0.744
Ac  0.233  0.000  0.233
Ac  0.416  0.673  0.744
Ac  0.584  0.327  0.256
Ac  0.767  0.000  0.767
Ac  0.929  0.673  0.256
Y  0.500  0.500  0.000
Tl  0.000  0.500  0.500
Tl  0.168  0.168  0.000
Tl  0.350  0.850  0.500
Tl  0.650  0.150  0.500
Tl  0.832  0.832  0.000

Output
- M_tot: 1.48 μB/cell
- E_form: -249 meV per atom